[1]
The following is a PBE-GGA calculation of crystalline Sc2Ta2B at its relaxed geometry, from OQMD.

```
data_Sc2Ta2B
_space_group_name_H-M_alt 'I b a m'
_space_group_IT_number 72
_space_group_name_Hall '-I 2 2c'
_cell_length_a 5.967
_cell_length_b 11.623
_cell_length_c 4.971
_cell_angle_alpha 90.00
_cell_angle_beta 90.00
_cell_angle_gamma 90.00
loop_
_atom_site_label
_atom_site_fract_x
_atom_site_fract_y
_atom_site_fract_z
Sc1 0.165 0.086 0.000
Ta1 0.123 0.331 0.000
B1 0.000 0.500 0.250
```

crystal system = orthorhombic



[2]
The following is a PBE-GGA calculation of crystalline CuBAs at its relaxed geometry, from OQMD.

```
data_CuBAs
_space_group_name_H-M_alt 'F -4 3 m'
_space_group_IT_number 216
_space_group_name_Hall 'F -4 2 3'
_cell_length_a 5.383
_cell_length_b 5.383
_cell_length_c 5.383
_cell_angle_alpha 90.00
_cell_angle_beta 90.00
_cell_angle_gamma 90.00
loop_
_atom_site_label
_atom_site_fract_x
_atom_site_fract_y
_atom_site_fract_z
Cu1 0.000 0.000 0.000
B1 0.250 0.250 0.750
As1 0.000 0.000 0.500
```

crystal system = cubic



[3]
The following is a PBE-GGA calculation of crystalline Nd2Y2CIBr4 at its relaxed geometry, from OQMD.

```
data_Nd2Y2CIBr4
_space_group_name_H-M_alt 'C 1 2/m 1'
_space_group_IT_number 12
_cell_length_a 18.114
_cell_length_b 3.907
_cell_length_c 8.544
_cell_angle_alpha 90.00
_cell_angle_beta 103.68
_cell_angle_gamma 90.00
loop_
_space_group_symop_operation_xyz
'x,y,z'
'-x,-y,-z'
'-x,y,-z'
'x,-y,z'
'x+1/2,y+1/2,z'
'-x+1/2,-y+1/2,-z'
'-x+1/2,y+1/2,-z'
'x+1/2,-y+1/2,z'
loop_
_atom_site_label
_atom_site_fract_x
_atom_site_fract_y
_atom_site_fract_z
Nd1 0.143 0.000 0.074
Y1 0.001 0.500 0.809
C1 0.000 0.000 0.000
I1 0.000 0.000 0.500
Br1 0.161 0.500 0.340
Br2 0.166 0.500 0.823
```

crystal system = monoclinic



[4]
The following is a PBE-GGA calculation of crystalline NaErPd6O8 at its relaxed geometry, from OQMD.

```
data_NaErPd6O8
_space_group_name_H-M_alt 'P m -3'
_space_group_IT_number 200
_space_group_name_Hall '-P 2 2 3'
_cell_length_a 5.768
_cell_length_b 5.768
_cell_length_c 5.768
_cell_angle_alpha 90.00
_cell_angle_beta 90.00
_cell_angle_gamma 90.00
loop_
_atom_site_label
_atom_site_fract_x
_atom_site_fract_y
_atom_site_fract_z
Na1 0.000 0.000 0.000
Er1 0.500 0.500 0.500
Pd1 0.000 0.500 0.249
O1 0.260 0.260 0.260
```

crystal system = cubic



[5]
The following is a PBE-GGA calculation of crystalline SmGdNi2Pb at its relaxed geometry, from OQMD.

```
data_SmGdNi2Pb
_space_group_name_H-M_alt 'A m m 2'
_space_group_IT_number 38
_cell_length_a 3.723
_cell_length_b 4.015
_cell_length_c 14.409
_cell_angle_alpha 90.00
_cell_angle_beta 90.00
_cell_angle_gamma 90.00
loop_
_space_group_symop_operation_xyz
'x,y,z'
'-x,-y,z'
'-x,y,z'
'x,-y,z'
'x,y+1/2,z+1/2'
'-x,-y+1/2,z+1/2'
'-x,y+1/2,z+1/2'
'x,-y+1/2,z+1/2'
loop_
_atom_site_label
_atom_site_fract_x
_atom_site_fract_y
_atom_site_fract_z
Sm1 0.000 0.000 0.000
Gd1 0.000 0.000 0.278
Ni1 0.500 0.000 0.435
Ni2 0.500 0.000 0.839
Pb1 0.500 0.000 0.640
```

crystal system = orthorhombic



[6]
The following is a PBE-GGA calculation of crystalline LaMgSi2Os at its relaxed geometry, from OQMD.

```
data_LaMgSi2Os
_space_group_name_H-M_alt 'I -4 m 2'
_space_group_IT_number 119
_space_group_name_Hall 'I -4 -2'
_cell_length_a 4.160
_cell_length_b 4.160
_cell_length_c 10.881
_cell_angle_alpha 90.00
_cell_angle_beta 90.00
_cell_angle_gamma 90.00
loop_
_atom_site_label
_atom_site_fract_x
_atom_site_fract_y
_atom_site_fract_z
La1 0.000 0.000 0.000
Mg1 0.000 0.500 0.250
Si1 0.000 0.000 0.384
Os1 0.000 0.500 0.750
```

crystal system = tetragonal



[7]
The following is a PBE-GGA calculation of crystalline TbNd2Mg3Ga3 at its relaxed geometry, from OQMD.

```
data_TbNd2Mg3Ga3
_space_group_name_H-M_alt 'A m m 2'
_space_group_IT_number 38
_cell_length_a 4.499
_cell_length_b 12.786
_cell_length_c 7.461
_cell_angle_alpha 90.00
_cell_angle_beta 90.00
_cell_angle_gamma 90.00
loop_
_space_group_symop_operation_xyz
'x,y,z'
'-x,-y,z'
'-x,y,z'
'x,-y,z'
'x,y+1/2,z+1/2'
'-x,-y+1/2,z+1/2'
'-x,y+1/2,z+1/2'
'x,-y+1/2,z+1/2'
loop_
_atom_site_label
_atom_site_fract_x
_atom_site_fract_y
_atom_site_fract_z
Tb1 0.000 0.000 0.000
Nd1 0.000 0.212 0.365
Mg1 0.500 0.000 0.335
Mg2 0.500 0.121 0.700
Ga1 0.000 0.000 0.584
Ga2 0.500 0.164 0.077
```

crystal system = orthorhombic



[8]
The following is a PBE-GGA calculation of crystalline SiMoW at its relaxed geometry, from OQMD.

```
data_SiMoW
_space_group_name_H-M_alt 'P n m a'
_space_group_IT_number 62
_cell_length_a 4.931
_cell_length_b 4.608
_cell_length_c 7.975
_cell_angle_alpha 90.00
_cell_angle_beta 90.00
_cell_angle_gamma 90.00
loop_
_space_group_symop_operation_xyz
'x,y,z'
'-x,-y,-z'
'-x+1/2,-y,z+1/2'
'x+1/2,y,-z+1/2'
'x+1/2,-y+1/2,-z+1/2'
'-x+1/2,y+1/2,z+1/2'
'-x,y+1/2,-z'
'x,-y+1/2,z'
loop_
_atom_site_label
_atom_site_fract_x
_atom_site_fract_y
_atom_site_fract_z
Si1 0.175 0.250 0.001
Mo1 0.160 0.250 0.340
W1 0.180 0.250 0.669
```

crystal system = orthorhombic
offset from the most stable computed form = 104.8 meV/atom



no.,raw total energy (eV/atom)
1,-8.485
2,-4.337
3,-5.364
4,-5.878
5,-5.332
6,-6.178
7,-3.593
8,-9.711